Record 1
# La3BiN

La3BiN after structural relaxation (PBE-GGA, the Alexandria database).

Geometry as POSCAR:
```
La3BiN
1.0
3.549 -5.988 0.000
3.549 5.988 0.000
0.000 0.000 7.661
La Bi N
6 2 2
Direct
0.000 0.000 0.000
0.000 0.000 0.500
0.039 0.486 0.750
0.486 0.039 0.250
0.514 0.961 0.750
0.961 0.514 0.250
0.455 0.545 0.250
0.545 0.455 0.750
0.122 0.878 0.250
0.878 0.122 0.750
```

Properties
E (eV per atom): -6.090
Space group: Cmcm (63)

Record 2
# Li8SnAu2

Li8SnAu2 after structural relaxation (PBE-GGA, the Alexandria database).

Geometry as POSCAR:
```
Li8SnAu2
1.0
4.113 -5.457 0.000
4.113 5.457 0.000
-0.067 0.000 4.440
Li Sn Au
8 1 2
Direct
0.163 0.163 0.995
0.199 0.467 0.496
0.247 0.753 0.000
0.467 0.199 0.496
0.533 0.801 0.504
0.753 0.247 0.000
0.801 0.533 0.504
0.837 0.837 0.005
0.500 0.500 0.000
0.127 0.873 0.500
0.873 0.127 0.500
```

Properties
Space group: C2/m (12)
Formation energy from the elements (eV/atom): -0.36

no.,volume (Å³/atom)
1,32.559
2,18.120